VMoF2: relaxed, PBE with a Hubbard U.

The excess energy over the best structure of this formula in the dataset is 631 meV per atom. The calculation puts the theoretical density at 5.1 g cm⁻³.

Cell and atoms, written as CIF:
```
data_VMoF2
_symmetry_space_group_name_H-M 'R -3 m'
_symmetry_Int_Tables_number 166
_symmetry_space_group_name_Hall '-R 3 2"'
_cell_length_a 3.0532
_cell_length_b 3.0532
_cell_length_c 22.4632
_cell_angle_alpha 90.00
_cell_angle_beta 90.00
_cell_angle_gamma 120.00
loop_
_atom_site_label
_atom_site_type_symbol
_atom_site_fract_x
_atom_site_fract_y
_atom_site_fract_z
_atom_site_occupancy
V1 V 0.0000 0.0000 0.0000 1
Mo1 Mo 0.0000 0.0000 0.5000 1
F1 F 0.0000 0.0000 0.0980 1
```